[1]
The following is a PBE calculation of crystalline Sr4FeAu at its relaxed geometry, from Alexandria via LeMat-Bulk.

Cell and atoms, written as extended XYZ:
```
6
Lattice="0.0000 4.8944 4.8944 4.8944 0.0000 4.8944 4.8944 4.8944 0.0000" Properties=species:S:1:pos:R:3 pbc="T T T"
Sr 1.2271 1.2271 1.2271
Sr 3.6672 3.6672 1.2271
Sr 3.6672 1.2271 3.6672
Sr 1.2271 3.6672 3.6672
Fe 4.8944 4.8944 4.8944
Au 7.3416 7.3416 7.3416
```

Output
- Fermi-level density of states (states/eV per cell) = 11.97
- crystal system = cubic
- calculated formation energy (kJ/mol of atoms) = 86.1
- mass density (g/cm3) = 4.27

***

[2]
The following is a PBE calculation of crystalline BaS2I at its relaxed geometry, from Alexandria via LeMat-Bulk.

Cell and atoms, written as extended XYZ:
```
8
Lattice="-2.9150 2.9150 8.6646 2.9150 -2.9150 8.6646 2.9150 2.9150 -8.6646" Properties=species:S:1:pos:R:3 pbc="T T T"
Ba 0.0000 0.0000 0.0000
Ba 0.0000 2.9150 4.3323
S 1.4575 -1.1521 6.4985
S 1.7630 1.4575 2.1662
S 1.4575 4.0671 -2.1662
S 1.1521 1.4575 10.8308
I 2.9150 0.0000 4.3323
I 0.0000 0.0000 8.6646
```

Output
- Fermi-level density of states (states/eV per cell) = 3.19
- crystal system = tetragonal
- E above lowest polymorph (meV per atom) = 283.5
- mass density (g/cm3) = 3.70

***

[3]
The following is a PBE calculation of crystalline RbSe2I2 at its relaxed geometry, from Alexandria via LeMat-Bulk.

Cell and atoms, written as extended XYZ:
```
10
Lattice="9.4209 0.0000 0.0000 0.0000 9.4209 0.0000 0.0000 0.0000 4.8494" Properties=species:S:1:pos:R:3 pbc="T T T"
Rb 0.0000 0.0000 0.0000
Rb 4.7105 4.7105 0.0000
Se 0.7736 3.9368 0.0000
Se 3.9368 8.6473 0.0000
Se 5.4841 0.7736 0.0000
Se 8.6473 5.4841 0.0000
I 2.3293 2.3812 2.4247
I 2.3812 7.0916 2.4247
I 7.0397 2.3293 2.4247
I 7.0916 7.0397 2.4247
```

Output
- Fermi-level density of states (states/eV per cell) = 0.05
- crystal system = tetragonal
- E above lowest polymorph (meV per atom) = 49.4
- mass density (g/cm3) = 3.84

***

[4]
The following is a PBE calculation of crystalline PaTc4B2 at its relaxed geometry, from Alexandria via LeMat-Bulk.

Cell and atoms, written as extended XYZ:
```
7
Lattice="1.9680 -6.4096 0.0000 1.9680 6.4096 0.0000 0.0000 0.0000 3.8051" Properties=species:S:1:pos:R:3 pbc="T T T"
Pa 0.0000 0.0000 0.0000
Tc 1.9680 4.2336 1.9025
Tc 1.9680 2.3656 0.0000
Tc 1.9680 -2.3656 0.0000
Tc 1.9680 -4.2336 1.9025
B 1.9680 0.9044 1.9025
B 1.9680 -0.9044 1.9025
```

Output
- Fermi-level density of states (states/eV per cell) = 4.99
- crystal system = orthorhombic
- calculated formation energy (kJ/mol of atoms) = -28.0
- mass density (g/cm3) = 11.15

***

[5]
The following is a PBE calculation of crystalline Be4InCl at its relaxed geometry, from Alexandria via LeMat-Bulk.

Cell and atoms, written as extended XYZ:
```
6
Lattice="0.0000 3.4284 3.4284 3.4284 0.0000 3.4284 3.4284 3.4284 0.0000" Properties=species:S:1:pos:R:3 pbc="T T T"
Be 2.6150 2.6150 2.6150
Be 4.2418 4.2418 2.6150
Be 4.2418 2.6150 4.2418
Be 2.6150 4.2418 4.2418
In 5.1426 5.1426 5.1426
Cl 0.0000 0.0000 0.0000
```

Output
- Fermi-level density of states (states/eV per cell) = 0.54
- crystal system = cubic
- electronic total energy (eV/atom) = -2.75
- mass density (g/cm3) = 3.84

***

[6]
The following is a PBE calculation of crystalline SrLi4HgAu2 at its relaxed geometry, from Alexandria via LeMat-Bulk.

Cell and atoms, written as extended XYZ:
```
8
Lattice="2.2673 1.3090 9.0199 -2.2673 1.3090 9.0199 0.0000 -2.6180 9.0199" Properties=species:S:1:pos:R:3 pbc="T T T"
Sr 0.0000 0.0000 0.0000
Li 0.0000 0.0000 3.5942
Li 0.0000 0.0000 10.9408
Li 0.0000 0.0000 16.1190
Li 0.0000 0.0000 23.4656
Hg 0.0000 0.0000 13.5299
Au 0.0000 0.0000 6.6835
Au 0.0000 0.0000 20.3762
```

Output
- Fermi-level density of states (states/eV per cell) = 2.52
- crystal system = trigonal
- calculated formation energy (kJ/mol of atoms) = -40.6
- mass density (g/cm3) = 7.34

***

[7]
The following is a PBE calculation of crystalline YMgTe2 at its relaxed geometry, from Alexandria via LeMat-Bulk.

Cell and atoms, written as extended XYZ:
```
4
Lattice="3.9103 0.0000 0.0000 0.0000 3.8575 0.0000 -1.5791 0.0000 7.3902" Properties=species:S:1:pos:R:3 pbc="T T T"
Y 0.0000 0.0000 0.0000
Mg -0.7896 0.0000 3.6951
Te 0.3120 1.9288 5.6056
Te 2.0192 1.9288 1.7846
```

Output
- Fermi-level density of states (states/eV per cell) = 2.05
- crystal system = monoclinic
- E above lowest polymorph (meV per atom) = 164.4
- mass density (g/cm3) = 5.49

***

[8]
The following is a PBE calculation of crystalline HgPd2W at its relaxed geometry, from Alexandria via LeMat-Bulk.

Cell and atoms, written as extended XYZ:
```
8
Lattice="-3.6517 3.6517 2.8072 3.6517 -3.6517 2.8072 3.6517 3.6517 -2.8072" Properties=species:S:1:pos:R:3 pbc="T T T"
Hg 0.0000 0.0000 0.0000
Hg 0.0000 3.6517 1.4036
Pd 1.8259 2.0433 -0.7018
Pd 5.2601 1.8259 0.7018
Pd 1.8259 1.6084 2.1054
Pd -1.6084 1.8259 3.5090
W 3.6517 0.0000 1.4036
W 0.0000 0.0000 2.8072
```

Output
- Fermi-level density of states (states/eV per cell) = 9.89
- crystal system = tetragonal
- calculated formation energy (kJ/mol of atoms) = 65.3
- mass density (g/cm3) = 13.25

***

[9]
The following is a PBE calculation of crystalline ZrHgB at its relaxed geometry, from Alexandria via LeMat-Bulk.

Cell and atoms, written as extended XYZ:
```
6
Lattice="1.6891 -9.3702 0.0000 1.6891 9.3702 0.0000 0.0000 0.0000 3.1454" Properties=species:S:1:pos:R:3 pbc="T T T"
Zr 1.6891 7.9398 2.3591
Zr 1.6891 -7.9398 0.7864
Hg 1.6891 3.6078 2.3591
Hg 1.6891 -3.6078 0.7864
B 1.6891 0.3484 2.3591
B 1.6891 -0.3484 0.7864
```

Output
- Fermi-level density of states (states/eV per cell) = 2.60
- crystal system = orthorhombic
- E above lowest polymorph (meV per atom) = 57.5
- calculated formation energy (kJ/mol of atoms) = -48.0
- mass density (g/cm3) = 10.09

***

[10]
The following is a PBE calculation of crystalline Mg2AsRh at its relaxed geometry, from Alexandria via LeMat-Bulk.

Cell and atoms, written as extended XYZ:
```
4
Lattice="-1.9907 1.9907 4.1837 1.9907 -1.9907 4.1837 1.9907 1.9907 -4.1837" Properties=species:S:1:pos:R:3 pbc="T T T"
Mg 0.0000 0.0000 0.0000
Mg 0.0000 1.9907 2.0919
As 0.0000 0.0000 4.1837
Rh 1.9907 0.0000 2.0919
```

Output
- Fermi-level density of states (states/eV per cell) = 1.02
- crystal system = tetragonal
- calculated formation energy (kJ/mol of atoms) = -38.8
- mass density (g/cm3) = 5.67

***

[11]
The following is a PBE calculation of crystalline CsRb2MoBr8 at its relaxed geometry, from Alexandria via LeMat-Bulk.

Cell and atoms, written as extended XYZ:
```
12
Lattice="6.5112 0.0000 0.0000 2.0701 7.1696 0.0000 0.0274 0.0213 10.7695" Properties=species:S:1:pos:R:3 pbc="T T T"
Cs 0.0000 0.0000 0.0000
Rb 4.2769 3.5760 2.7257
Rb 4.3318 3.6149 8.0439
Mo 0.0137 0.0107 5.3848
Br 0.9244 1.5503 3.5742
Br 0.9449 1.5441 7.1874
Br 4.2343 5.8711 5.3702
Br 3.4053 1.8660 10.7602
Br 5.2034 5.3250 0.0093
Br 4.3744 1.3198 5.3993
Br 7.6638 5.6469 3.5821
Br 7.6843 5.6406 7.1953
```

Output
- Fermi-level density of states (states/eV per cell) = 9.75
- crystal system = triclinic
- electronic total energy (eV/atom) = -3.31
- mass density (g/cm3) = 3.43

***

[12]
The following is a PBE calculation of crystalline PmZn2In at its relaxed geometry, from Alexandria via LeMat-Bulk.

Cell and atoms, written as extended XYZ:
```
4
Lattice="3.5649 0.0000 0.0000 0.0000 3.5649 0.0000 0.0000 0.0000 7.0346" Properties=species:S:1:pos:R:3 pbc="T T T"
Pm 0.0000 0.0000 0.0000
Zn 1.7824 1.7824 1.9352
Zn 1.7824 1.7824 5.0995
In 0.0000 0.0000 3.5173
```

Output
- Fermi-level density of states (states/eV per cell) = 2.43
- crystal system = tetragonal
- E above lowest polymorph (meV per atom) = 135.1
- calculated formation energy (kJ/mol of atoms) = -16.9
- mass density (g/cm3) = 7.26